# CsFe3C PBE relaxed
# - spin magnetization (Bohr magnetons per cell) = 8.706
# - SG = No. 221
# - E_tot (eV per cell) = -16.719
# - formation energy from the elements (eV per atom) = 3.749
# - energy above the most stable polymorph in this dataset (meV/atom) = 2504
data_CsFe3C
_chemical_formula_sum 'Cs1 Fe3 C1'
_space_group_name_H-M_alt 'P 1'
_space_group_IT_number 1
_cell_length_a 4.8092
_cell_length_b 4.8092
_cell_length_c 4.8092
_cell_angle_alpha 90.00
_cell_angle_beta 90.00
_cell_angle_gamma 90.00
loop_
_space_group_symop_operation_xyz
'x,y,z'
loop_
_atom_site_label
_atom_site_fract_x
_atom_site_fract_y
_atom_site_fract_z
_atom_site_occupancy
Cs1 0.0000 0.0000 0.0000 1
Fe1 0.0000 0.0000 0.5000 1
Fe2 0.0000 0.5000 0.0000 1
Fe3 0.5000 0.0000 0.0000 1
C1 0.5000 0.5000 0.5000 1



# CsFeC2 PBE relaxed
# - spin magnetization (Bohr magnetons per cell) = 2.084
# - SG = No. 225
# - E_tot (eV per cell) = -15.343
# - formation energy from the elements (eV per atom) = 3.105
# - energy above the most stable polymorph in this dataset (meV/atom) = 2485
data_CsFeC2
_chemical_formula_sum 'Cs1 Fe1 C2'
_space_group_name_H-M_alt 'P 1'
_space_group_IT_number 1
_cell_length_a 4.4869
_cell_length_b 4.4869
_cell_length_c 4.4869
_cell_angle_alpha 60.00
_cell_angle_beta 60.00
_cell_angle_gamma 60.00
loop_
_space_group_symop_operation_xyz
'x,y,z'
loop_
_atom_site_label
_atom_site_fract_x
_atom_site_fract_y
_atom_site_fract_z
_atom_site_occupancy
Cs1 0.0000 0.0000 0.0000 1
Fe1 0.5000 0.5000 0.5000 1
C1 0.2500 0.2500 0.2500 1
C2 0.7500 0.7500 0.7500 1



# CsFe3C PBE relaxed
# - spin magnetization (Bohr magnetons per cell) = 5.425
# - SG = No. 221
# - E_tot (eV per cell) = -29.241
# - formation energy from the elements (eV per atom) = 1.245
# - energy above the most stable polymorph in this dataset (meV/atom) = 0
data_CsFe3C
_chemical_formula_sum 'Cs1 Fe3 C1'
_space_group_name_H-M_alt 'P 1'
_space_group_IT_number 1
_cell_length_a 4.1141
_cell_length_b 4.1141
_cell_length_c 4.1141
_cell_angle_alpha 90.00
_cell_angle_beta 90.00
_cell_angle_gamma 90.00
loop_
_space_group_symop_operation_xyz
'x,y,z'
loop_
_atom_site_label
_atom_site_fract_x
_atom_site_fract_y
_atom_site_fract_z
_atom_site_occupancy
Cs1 0.0000 0.0000 0.0000 1
Fe1 0.0000 0.5000 0.5000 1
Fe2 0.5000 0.0000 0.5000 1
Fe3 0.5000 0.5000 0.0000 1
C1 0.5000 0.5000 0.5000 1



# Cs3FeC PBE relaxed
# - spin magnetization (Bohr magnetons per cell) = 2.800
# - SG = No. 221
# - E_tot (eV per cell) = -10.418
# - formation energy from the elements (eV per atom) = 1.966
data_Cs3FeC
_chemical_formula_sum 'Cs3 Fe1 C1'
_space_group_name_H-M_alt 'P 1'
_space_group_IT_number 1
_cell_length_a 5.8293
_cell_length_b 5.8293
_cell_length_c 5.8293
_cell_angle_alpha 90.00
_cell_angle_beta 90.00
_cell_angle_gamma 90.00
loop_
_space_group_symop_operation_xyz
'x,y,z'
loop_
_atom_site_label
_atom_site_fract_x
_atom_site_fract_y
_atom_site_fract_z
_atom_site_occupancy
Cs1 0.0000 0.0000 0.5000 1
Cs2 0.0000 0.5000 0.0000 1
Cs3 0.5000 0.0000 0.0000 1
Fe1 0.0000 0.0000 0.0000 1
C1 0.5000 0.5000 0.5000 1